Record 1
VASP calculation (PBE) on a relaxed SbP crystal.

The structure belongs to space group P2_13 (No. 198); the cell edges are 5.980, 5.980 and 5.980 Å and the angles 90.00°, 90.00° and 90.00°. The asymmetric unit holds Sb at (0.027, 0.473, 0.527) and P at (0.043, 0.543, 0.957).

As for the uncorrected formation energy: 0.27 eV/f.u.

=====

Record 2
VASP calculation (PBE) on a relaxed SbP2 crystal.

The structure belongs to space group P6_3/mmc (No. 194); the cell edges are 4.8633, 4.8633 and 5.5261 Å and the angles 90.00°, 90.00° and 120.00°. The asymmetric unit holds Sb at (0.3333, 0.6667, 0.2500), P at (0.0000, 0.0000, 0.0000) and P at (0.3333, 0.6667, 0.7500).

As for the uncorrected formation energy: 1.89 eV/f.u.

=====

Record 3
VASP calculation (PBE) on a relaxed SbP2 crystal.

The structure belongs to space group C2/m (No. 12); the cell edges are 15.323, 3.222 and 6.019 Å and the angles 90.00°, 106.93° and 90.00°. The asymmetric unit holds Sb at (0.155, 0.000, 0.458), P at (0.040, 0.500, 0.869) and P at (0.140, 0.000, 0.005).

As for the uncorrected formation energy: 0.36 eV/f.u.

=====

Record 4
VASP calculation (PBE) on a relaxed SbP crystal.

The structure belongs to space group Cm (No. 8); the cell edges are 11.354, 3.775 and 7.623 Å and the angles 90.00°, 117.34° and 90.00°. The asymmetric unit holds Sb at (0.000, 0.000, 0.000), Sb at (0.078, 0.500, 0.661), Sb at (0.293, 0.500, 0.252), P at (0.058, 0.000, 0.408), P at (0.312, 0.000, 0.503) and P at (0.332, 0.000, 0.946).

As for the uncorrected formation energy: 0.51 eV/f.u.

=====

Record 5
VASP calculation (PBE) on a relaxed SbP2 crystal.

The structure belongs to space group P-62m (No. 189); the cell edges are 8.3533, 8.3533 and 3.3482 Å and the angles 90.00°, 90.00° and 120.00°. The asymmetric unit holds Sb at (0.0000, 0.0000, 0.0000), Sb at (0.3333, 0.6667, 0.5000), P at (0.0000, 0.2844, 0.5000) and P at (0.0000, 0.4753, 0.0000).

As for the uncorrected formation energy: 1.23 eV/f.u.

=====

Record 6
VASP calculation (PBE) on a relaxed SbP2 crystal.

The structure belongs to space group C2/m (No. 12); the cell edges are 12.790, 3.717 and 6.507 Å and the angles 90.00°, 95.45° and 90.00°. The asymmetric unit holds Sb at (0.000, 0.000, 0.231), P at (0.140, 0.500, 0.291) and P at (0.194, 0.500, 0.979).

As for the uncorrected formation energy: 0.33 eV/f.u.

=====

Record 7
VASP calculation (PBE) on a relaxed SbP crystal.

The structure belongs to space group C2/m (No. 12); the cell edges are 12.151, 3.927 and 5.690 Å and the angles 90.00°, 90.78° and 90.00°. The asymmetric unit holds Sb at (0.000, 0.000, 0.000), Sb at (0.158, 0.500, 0.530), P at (0.000, 0.000, 0.500) and P at (0.174, 0.500, 0.993).

As for the uncorrected formation energy: 0.44 eV/f.u.

=====

Record 8
VASP calculation (PBE) on a relaxed Sb4P3 crystal.

The structure belongs to space group P6/mmm (No. 191); the cell edges are 5.0441, 5.0441 and 7.4961 Å and the angles 90.00°, 90.00° and 120.00°. The asymmetric unit holds Sb at (0.0000, 0.0000, 0.2266), Sb at (0.3333, 0.6667, 0.5000) and P at (0.0000, 0.5000, 0.0000).

As for the uncorrected formation energy: 3.57 eV/f.u.